[1]
Computed, not measured: a relaxed RbCO2 crystal at the GGA-PBE level of DFT.

## Properties
E_form (uncorrected)	-175	meV/atom
SG	No. 122
electronic total energy	-5.202	eV per atom
N(E_F)	0.0060	states/eV per atom
size of the total moment	0.00	μB per formula unit

a = 5.2960 Å, b = 5.2960 Å, c = 5.2960 Å
α = 120.00°, β = 120.00°, γ = 89.99°
Last column: nearest neighbours and their distance in Å.
Sites, in units of the cell vectors:
1 Rb 0.0000 0.0000 0.0000  12 O 3.10-3.11, 4 Rb 3.24, 4 C 3.24
2 Rb 0.7500 0.2500 0.5000  12 O 3.10-3.11, 4 Rb 3.24, 4 C 3.24
3 C 0.2500 0.7500 0.5000  4 O 1.62
4 C 0.5000 0.5000 0.0000  4 O 1.62
5 O 0.3737 0.1250 0.7487  2 C 1.62
6 O 0.3750 0.6263 0.7513  2 C 1.62
7 O 0.3763 0.6250 0.2513  2 C 1.62
8 O 0.8750 0.6237 0.2487  2 C 1.62

[2]
Computed, not measured: a relaxed Nd4In12Pd crystal at the GGA-PBE level of DFT.

## Properties
SG	No. 229
electronic total energy	-3.848	eV per atom
energy of formation	-0.488	eV/atom
N(E_F)	0.2087	states/eV per atom
size of the total moment	0.00	μB per formula unit

a = 8.2423 Å, b = 8.2423 Å, c = 8.2423 Å
α = 109.47°, β = 109.47°, γ = 109.47°
Last column: nearest neighbours and their distance in Å.
Sites, in units of the cell vectors:
1 Nd 0.0000 0.0000 0.5000  12 In 3.36-3.38
2 Nd 0.0000 0.5000 0.0000  12 In 3.36-3.38
3 Nd 0.5000 0.0000 0.0000  12 In 3.36-3.38
4 Nd 0.5000 0.5000 0.5000  12 In 3.36-3.38
5 In 0.0000 0.2846 0.2846  1 Pd 2.71
6 In 0.0000 0.7154 0.7154  1 Pd 2.71
7 In 0.2500 0.5000 0.7500  8 In 3.14-3.36, 4 Nd 3.36
8 In 0.2500 0.7500 0.5000  8 In 3.14-3.36, 4 Nd 3.36
9 In 0.2846 0.0000 0.2846  1 Pd 2.71
10 In 0.2846 0.2846 0.0000  1 Pd 2.71
11 In 0.5000 0.2500 0.7500  8 In 3.14-3.36, 4 Nd 3.36
12 In 0.5000 0.7500 0.2500  8 In 3.14-3.36, 4 Nd 3.36
13 In 0.7154 0.0000 0.7154  1 Pd 2.71
14 In 0.7154 0.7154 0.0000  1 Pd 2.71
15 In 0.7500 0.2500 0.5000  8 In 3.14-3.36, 4 Nd 3.36
16 In 0.7500 0.5000 0.2500  8 In 3.14-3.36, 4 Nd 3.36
17 Pd 0.0000 0.0000 0.0000  6 In 2.71

[3]
Computed, not measured: a relaxed Ho3TlRu crystal at the GGA-PBE level of DFT.

## Properties
SG	No. 69
electronic total energy	-5.441	eV per atom
energy of formation	-0.366	eV/atom
N(E_F)	0.5660	states/eV per atom
size of the total moment	0.00	μB per formula unit
ΔE to the lowest computed polymorph	0	meV per atom

a = 9.4678 Å, b = 8.7789 Å, c = 5.8273 Å
α = 77.93°, β = 65.06°, γ = 37.01°
Last column: nearest neighbours and their distance in Å.
Sites, in units of the cell vectors:
1 Ho 0.1974 0.5736 0.4264  2 Ru 2.81
2 Ho 0.1996 0.1996 0.8004  4 Ru 3.03, 2 Ho 3.31
3 Ho 0.4264 0.8026 0.1974  2 Ru 2.81
4 Ho 0.5736 0.1974 0.8026  2 Ru 2.81
5 Ho 0.8004 0.8004 0.1996  4 Ru 3.03, 2 Ho 3.31
6 Ho 0.8026 0.4264 0.5736  2 Ru 2.81
7 Tl 0.2173 0.7827 0.7827  1 Tl 2.84
8 Tl 0.7827 0.2173 0.2173  1 Tl 2.84
9 Ru 0.2500 0.2500 0.2500  8 Ho 2.81-3.03
10 Ru 0.7500 0.7500 0.7500  8 Ho 2.81-3.03

[4]
Computed, not measured: a relaxed InSnS2 crystal at the GGA-PBE level of DFT.

## Properties
E_form (uncorrected)	-326	meV/atom
SG	No. 62
electronic total energy	-4.075	eV per atom
N(E_F)	0.3826	states/eV per atom
size of the total moment	0.00	μB per formula unit

a = 7.1806 Å, b = 4.0216 Å, c = 14.0138 Å
α = 90.00°, β = 90.00°, γ = 90.00°
Last column: nearest neighbours and their distance in Å.
Sites, in units of the cell vectors:
1 In 0.0836 0.2500 0.1044  5 S 2.68-2.86
2 In 0.4164 0.7500 0.6044  5 S 2.68-2.86
3 In 0.5836 0.2500 0.3956  5 S 2.68-2.86
4 In 0.9164 0.7500 0.8956  5 S 2.68-2.86
5 Sn 0.0414 0.7500 0.3567  3 S 2.78-2.83
6 Sn 0.4586 0.2500 0.8567  3 S 2.78-2.83
7 Sn 0.5414 0.7500 0.1433  3 S 2.78-2.83
8 Sn 0.9586 0.2500 0.6433  3 S 2.78-2.83
9 S 0.1507 0.7500 0.7383  2 In 2.68-2.77, 2 Sn 2.78
10 S 0.2484 0.2500 0.5062  3 In 2.72-2.86, 1 Sn 2.83
11 S 0.2516 0.7500 0.0062  3 In 2.72-2.86, 1 Sn 2.83
12 S 0.3493 0.2500 0.2383  2 In 2.68-2.77, 2 Sn 2.78
13 S 0.6507 0.7500 0.7617  2 In 2.68-2.77, 2 Sn 2.78
14 S 0.7484 0.2500 0.9938  3 In 2.72-2.86, 1 Sn 2.83
15 S 0.7516 0.7500 0.4938  3 In 2.72-2.86, 1 Sn 2.83
16 S 0.8493 0.2500 0.2617  2 In 2.68-2.77, 2 Sn 2.78

Q: Look up the N(E_F) of the second one.
A: 0.2087 states/eV per atom